Entry from the Alexandria database: crystalline YSe2 at its relaxed geometry (PBE).

Output
Uncorrected formation energy (kJ/mol of formula units): -453
Crystal system: tetragonal

Cell lengths 4.072, 4.072, 8.375 Å; angles 90.00, 90.00, 90.00 degrees
Atoms (fractional coordinates):
Y (0.750, 0.750, 0.726)
Y (0.250, 0.250, 0.274)
Se (0.750, 0.750, 0.370)
Se (0.250, 0.250, 0.630)
Se (0.750, 0.250, 0.000)
Se (0.250, 0.750, 0.000)

***

Entry from the Alexandria database: crystalline Ba2ZnSe at its relaxed geometry (PBE).

Output
Uncorrected formation energy (kJ/mol of formula units): -307
Energy above the lowest structure with this stoichiometry (eV/atom): 0.155
Crystal system: tetragonal

Cell lengths 8.668, 8.668, 7.616 Å; angles 55.31, 55.31, 90.00 degrees
Atoms (fractional coordinates):
Zn (0.500, 0.500, 0.000)
Zn (0.250, 0.750, 0.500)
Ba (0.644, 0.125, 0.250)
Ba (0.106, 0.625, 0.250)
Ba (0.375, 0.356, 0.750)
Ba (0.875, 0.894, 0.750)
Se (0.000, 0.000, 0.000)
Se (0.750, 0.250, 0.500)

***

Entry from the Alexandria database: crystalline Mn3TlNi at its relaxed geometry (PBE).

Output
Energy above the lowest structure with this stoichiometry (eV/atom): 0.993
Crystal system: cubic
Calculated formation energy (meV per atom): 1682

Cell lengths 5.027, 5.027, 5.027 Å; angles 90.00, 90.00, 90.00 degrees
Site moments in Bohr magnetons follow the coordinates.
Atoms (fractional coordinates):
Ni (0.500, 0.500, 0.500)  0.59
Tl (0.000, 0.000, 0.000)  -0.12
Mn (0.000, 0.500, 0.000)  4.03
Mn (0.000, 0.000, 0.500)  4.18
Mn (0.500, 0.000, 0.000)  3.85

***

Entry from the Alexandria database: crystalline LiY4Al2Cd at its relaxed geometry (PBE).

Output
Crystal system: trigonal
Calculated formation energy (meV per atom): -326

Cell lengths 5.186, 5.186, 8.994 Å; angles 73.25, 73.25, 60.00 degrees
Atoms (fractional coordinates):
Li (0.500, 0.500, 0.500)
Y (0.376, 0.376, 0.872)
Y (0.874, 0.874, 0.377)
Y (0.126, 0.126, 0.623)
Y (0.624, 0.624, 0.128)
Al (0.752, 0.752, 0.743)
Al (0.248, 0.248, 0.257)
Cd (0.000, 0.000, 0.000)

***

Number 1: E -6.041 eV per atom. Number 2: E -2.946 eV per atom. Number 3: E -5.449 eV per atom. Number 4: E -4.847 eV per atom.